{"formula": "CuMoIrF2", "functional": "PBE+U", "state": "optimized geometry", "cell": [[3.701, 0.000, 0.000], [0.000, 6.765, 0.000], [0.000, 0.000, 3.701]], "species": ["F", "F", "Mo", "Cu", "Ir"], "fractional_positions": [[0.500, 0.000, 0.000], [0.000, 0.000, 0.500], [0.000, 0.500, 0.000], [0.000, 0.000, 0.000], [0.500, 0.500, 0.500]], "e_tot_ev_per_atom": -4.714, "volume_a3_per_cell": 92.6}